Computed, not measured: an optimized crystal structure of Y7Er3Th at the PBE level of DFT.

Summary:
**Energy of formation from the pure elements**: 152 meV/atom
**Total moment**: 0.0 μB per formula unit
**Volume**: 1438 Å³/cell
**Theoretical density**: 6.27 g/cm³

The structure in CIF format:
```
data_Y7Er3Th
_chemical_formula_sum 'Y28 Er12 Th4'
_symmetry_space_group_name_H-M 'C 1 2/m 1'
_symmetry_Int_Tables_number 12
_symmetry_space_group_name_Hall '-C 2y'
_cell_length_a 6.901
_cell_length_b 18.611
_cell_length_c 11.195
_cell_angle_alpha 90.00
_cell_angle_beta 90.86
_cell_angle_gamma 90.00
loop_
_atom_site_label
_atom_site_type_symbol
_atom_site_fract_x
_atom_site_fract_y
_atom_site_fract_z
Y1 Y 0.248 0.161 0.468
Y2 Y 0.248 0.339 0.969
Y3 Y 0.249 0.000 0.250
Y4 Y 0.249 0.412 0.250
Er1 Er 0.000 0.000 0.000
Er2 Er 0.000 0.250 0.250
Er3 Er 0.000 0.500 0.500
Th1 Th 0.000 0.000 0.500
Th2 Th 0.000 0.500 0.000
```